(1)
Here is a relaxed structure of Pr2U2Ru3 from Alexandria via LeMat-Bulk. Energies are from PBE.

Geometry as POSCAR:
```
Pr2U2Ru3
1.0
4.027 0.000 0.000
2.012 5.367 0.000
1.992 0.260 7.271
Pr U Ru
2 2 3
Cartesian
1.005 1.167 0.883
7.027 4.461 6.388
3.008 1.934 4.154
5.024 3.694 3.117
0.996 0.130 3.635
3.018 3.508 1.459
5.014 2.119 5.812
```

Values from the calculation:
The formation energy comes out at -0.221 eV/atom. The value obtained for the calculated density is 11.2 g cm⁻³. As for the symmetry: P-1, No. 2. The value obtained for the volume is 157 Å³/f.u.

(2)
Here is a relaxed structure of NdTl6S8 from Alexandria via LeMat-Bulk. Energies are from PBE.

Geometry as POSCAR:
```
NdTl6S8
1.0
5.833 3.368 3.344
-5.833 3.368 3.344
0.000 -6.735 3.344
Nd Tl S
1 6 8
Cartesian
0.000 0.000 0.000
-1.173 -2.461 3.281
-1.545 2.246 3.281
-2.718 -0.214 6.752
2.718 0.214 3.281
1.545 -2.246 6.752
1.173 2.461 6.752
-3.193 -2.603 5.419
-3.851 1.464 4.614
0.000 0.000 3.104
0.658 -4.067 4.614
-0.658 4.067 5.419
0.000 0.000 6.929
3.851 -1.464 5.419
3.193 2.603 4.614
```

Values from the calculation:
For the electronic total energy, the calculation gives -3.811 eV per atom. The value obtained for the calculated density is 6.9 g cm⁻³. As for the symmetry: R-3, No. 148. The value obtained for the volume is 394 Å³/f.u.

(3)
Here is a relaxed structure of KMg2Sb from Alexandria via LeMat-Bulk. Energies are from PBE.

Geometry as POSCAR:
```
KMg2Sb
1.0
11.302 0.000 0.000
0.000 3.367 0.000
-1.072 0.000 6.088
K Mg Sb
2 4 2
Cartesian
0.000 0.000 0.000
5.651 1.683 0.000
1.838 0.000 4.354
2.741 1.683 1.734
7.489 1.683 4.354
8.392 0.000 1.734
-0.536 1.683 3.044
5.115 0.000 3.044
```

Values from the calculation:
For the electronic total energy, the calculation gives -2.146 eV per atom. The value obtained for the calculated density is 3.0 g cm⁻³. As for the symmetry: C2/m, No. 12. The value obtained for the volume is 116 Å³/f.u.

(4)
Here is a relaxed structure of CaSb2TeP from Alexandria via LeMat-Bulk. Energies are from PBE.

Geometry as POSCAR:
```
CaSb2TeP
1.0
5.184 0.000 0.000
0.000 5.184 0.000
0.000 0.000 5.502
Ca Sb Te P
1 2 1 1
Cartesian
0.000 0.000 0.000
0.000 2.592 2.751
2.592 0.000 2.751
2.592 2.592 0.000
2.592 2.592 2.751
```

Values from the calculation:
The value obtained for the calculated density is 5.0 g cm⁻³. For the offset from the most stable computed form, the calculation gives 0 meV/atom. As for the symmetry: P4/mmm, No. 123. The value obtained for the volume is 148 Å³/f.u.

(5)
Here is a relaxed structure of LaZr3Cl from Alexandria via LeMat-Bulk. Energies are from PBE.

Geometry as POSCAR:
```
LaZr3Cl
1.0
4.993 0.000 0.000
0.000 4.993 0.000
0.000 0.000 4.993
La Zr Cl
1 3 1
Cartesian
0.000 0.000 0.000
0.000 2.497 2.497
2.497 0.000 2.497
2.497 2.497 0.000
2.497 2.497 2.497
```

Values from the calculation:
The value obtained for the calculated density is 6.0 g cm⁻³. For the offset from the most stable computed form, the calculation gives 0 meV/atom. As for the symmetry: Pm-3m, No. 221. The value obtained for the volume is 125 Å³/f.u.

(6)
Here is a relaxed structure of ZrClF2 from Alexandria via LeMat-Bulk. Energies are from PBE.

Geometry as POSCAR:
```
ZrClF2
1.0
2.993 0.000 0.000
-1.496 2.592 0.000
0.000 0.000 29.198
Zr Cl F
3 3 6
Cartesian
0.000 0.000 0.000
0.000 1.728 19.466
1.496 0.864 9.733
0.000 0.000 14.599
0.000 1.728 4.866
1.496 0.864 24.332
0.000 0.000 11.196
0.000 0.000 18.003
0.000 1.728 1.463
0.000 1.728 8.270
1.496 0.864 20.929
1.496 0.864 27.736
```

Values from the calculation:
The value obtained for the calculated density is 3.6 g cm⁻³. For the offset from the most stable computed form, the calculation gives 444 meV/atom. As for the symmetry: R-3m, No. 166. The value obtained for the volume is 76 Å³/f.u.

(7)
Here is a relaxed structure of LaNdSb2 from Alexandria via LeMat-Bulk. Energies are from PBE.

Geometry as POSCAR:
```
LaNdSb2
1.0
4.577 0.000 0.000
-2.289 3.964 0.000
0.000 0.000 22.410
La Nd Sb
3 3 6
Cartesian
0.000 0.000 0.000
0.000 2.643 14.940
2.289 1.321 7.470
0.000 0.000 11.205
0.000 2.643 3.735
2.289 1.321 18.675
0.000 0.000 5.570
0.000 0.000 16.840
0.000 2.643 9.370
0.000 2.643 20.509
2.289 1.321 1.900
2.289 1.321 13.039
```

Values from the calculation:
The value obtained for the calculated density is 6.5 g cm⁻³. For the offset from the most stable computed form, the calculation gives 0 meV/atom. As for the symmetry: R-3m, No. 166. The value obtained for the volume is 136 Å³/f.u.

(8)
Here is a relaxed structure of CrSb2Cl from Alexandria via LeMat-Bulk. Energies are from PBE.

Geometry as POSCAR:
```
CrSb2Cl
1.0
3.331 0.000 0.000
0.000 4.990 0.000
0.000 0.000 14.012
Cr Sb Cl
2 4 2
Cartesian
0.000 0.000 0.000
1.666 2.495 7.006
0.000 0.000 7.802
0.000 2.495 9.407
1.666 0.000 2.401
1.666 2.495 0.796
0.000 2.495 5.257
1.666 0.000 12.263
```

Values from the calculation:
The value obtained for the calculated density is 4.7 g cm⁻³. For the offset from the most stable computed form, the calculation gives 26 meV/atom. As for the symmetry: Imm2, No. 44. The value obtained for the volume is 116 Å³/f.u.